Record 1
# Ta3Tc, optimized geometry, DFT PBEsol
# E above lowest polymorph = 0 meV per atom
data_Ta3Tc
_chemical_formula_sum 'Ta6 Tc2'
_space_group_name_H-M_alt 'I m m m'
_space_group_IT_number 71
_space_group_name_Hall '-I 2 2'
_cell_length_a 3.195
_cell_length_b 4.516
_cell_length_c 9.189
_cell_angle_alpha 90.00
_cell_angle_beta 90.00
_cell_angle_gamma 90.00
loop_
_atom_site_label
_atom_site_fract_x
_atom_site_fract_y
_atom_site_fract_z
Ta1 0.000 0.000 0.000
Ta2 0.000 0.500 0.241
Tc1 0.000 0.000 0.500

***

Record 2
# BaMoSe2, optimized geometry, DFT PBEsol
# formation energy (no corrections) = -0.272 eV/atom
# E above lowest polymorph = 62 meV per atom
data_BaMoSe2
_chemical_formula_sum 'Ba3 Mo3 Se6'
_space_group_name_H-M_alt 'R -3 m'
_space_group_IT_number 166
_space_group_name_Hall '-R 3 2"'
_cell_length_a 3.4175
_cell_length_b 3.4175
_cell_length_c 29.1147
_cell_angle_alpha 90.00
_cell_angle_beta 90.00
_cell_angle_gamma 120.00
loop_
_atom_site_label
_atom_site_fract_x
_atom_site_fract_y
_atom_site_fract_z
Ba1 0.0000 0.0000 0.0000
Mo1 0.0000 0.0000 0.5000
Se1 0.0000 0.0000 0.1101

***

Record 3
First-principles (PBEsol) data for crystalline CsMgPC2 at its relaxed geometry, as listed in Alexandria.

CIF file:
```
data_CsMgPC2
_chemical_formula_sum 'Cs1 Mg1 P1 C2'
_space_group_name_H-M_alt 'P 4/m m m'
_space_group_IT_number 123
_space_group_name_Hall '-P 4 2'
_cell_length_a 4.018
_cell_length_b 4.018
_cell_length_c 4.896
_cell_angle_alpha 90.00
_cell_angle_beta 90.00
_cell_angle_gamma 90.00
loop_
_atom_site_label
_atom_site_fract_x
_atom_site_fract_y
_atom_site_fract_z
Cs1 0.000 0.000 0.000
Mg1 0.500 0.500 0.000
P1 0.500 0.500 0.500
C1 0.000 0.500 0.500
```

***

Record 4
# Ni2P5O16, optimized geometry, DFT PBEsol
# formation energy (no corrections) = -1.737 eV/atom
data_Ni2P5O16
_chemical_formula_sum 'Ni4 P10 O32'
_space_group_name_H-M_alt 'P 1 2/c 1'
_space_group_IT_number 13
_space_group_name_Hall '-P 2yc'
_cell_length_a 4.804
_cell_length_b 6.550
_cell_length_c 18.395
_cell_angle_alpha 90.00
_cell_angle_beta 90.99
_cell_angle_gamma 90.00
loop_
_atom_site_label
_atom_site_fract_x
_atom_site_fract_y
_atom_site_fract_z
Ni1 0.244 0.171 0.406
P1 0.000 0.240 0.250
P2 0.243 0.128 0.575
P3 0.272 0.444 0.129
O1 0.066 0.067 0.932
O2 0.076 0.336 0.077
O3 0.146 0.113 0.307
O4 0.210 0.395 0.212
O5 0.230 0.319 0.631
O6 0.360 0.215 0.505
O7 0.417 0.415 0.383
O8 0.425 0.026 0.116

***

Record 5
First-principles (PBEsol) data for crystalline Sr2CuIr at its relaxed geometry, as listed in Alexandria.

CIF file:
```
data_Sr2CuIr
_chemical_formula_sum 'Sr6 Cu3 Ir3'
_space_group_name_H-M_alt 'R 3 m'
_space_group_IT_number 160
_space_group_name_Hall 'R 3 -2"'
_cell_length_a 4.2462
_cell_length_b 4.2462
_cell_length_c 22.9928
_cell_angle_alpha 90.00
_cell_angle_beta 90.00
_cell_angle_gamma 120.00
loop_
_atom_site_label
_atom_site_fract_x
_atom_site_fract_y
_atom_site_fract_z
Sr1 0.0000 0.0000 0.0000
Sr2 0.0000 0.0000 0.1667
Cu1 0.0000 0.0000 0.7501
Ir1 0.0000 0.0000 0.4166
```

***

Record 6
First-principles (PBEsol) data for crystalline LaYHg2 at its relaxed geometry, as listed in Alexandria.

CIF file:
```
data_LaYHg2
_chemical_formula_sum 'La1 Y1 Hg2'
_space_group_name_H-M_alt 'P m m 2'
_space_group_IT_number 25
_space_group_name_Hall 'P 2 -2'
_cell_length_a 3.623
_cell_length_b 5.375
_cell_length_c 5.392
_cell_angle_alpha 90.00
_cell_angle_beta 90.00
_cell_angle_gamma 90.00
loop_
_atom_site_label
_atom_site_fract_x
_atom_site_fract_y
_atom_site_fract_z
La1 0.000 0.000 0.000
Y1 0.000 0.500 0.483
Hg1 0.500 0.000 0.502
Hg2 0.500 0.500 0.975
```

***

Record 7
# CaPBr3, optimized geometry, DFT PBEsol
# formation energy (no corrections) = -0.360 eV/atom
data_CaPBr3
_chemical_formula_sum 'Ca1 P1 Br3'
_space_group_name_H-M_alt 'P m -3 m'
_space_group_IT_number 221
_space_group_name_Hall '-P 4 2 3'
_cell_length_a 5.511
_cell_length_b 5.511
_cell_length_c 5.511
_cell_angle_alpha 90.00
_cell_angle_beta 90.00
_cell_angle_gamma 90.00
loop_
_atom_site_label
_atom_site_fract_x
_atom_site_fract_y
_atom_site_fract_z
Ca1 0.000 0.000 0.000
P1 0.500 0.500 0.500
Br1 0.000 0.000 0.500

***

Record 8
# TaPS, optimized geometry, DFT PBEsol
# formation energy (no corrections) = -0.879 eV/atom
data_TaPS
_chemical_formula_sum 'Ta4 P4 S4'
_space_group_name_H-M_alt 'I m m m'
_space_group_IT_number 71
_space_group_name_Hall '-I 2 2'
_cell_length_a 3.396
_cell_length_b 4.701
_cell_length_c 11.847
_cell_angle_alpha 90.00
_cell_angle_beta 90.00
_cell_angle_gamma 90.00
loop_
_atom_site_label
_atom_site_fract_x
_atom_site_fract_y
_atom_site_fract_z
Ta1 0.000 0.000 0.123
P1 0.000 0.236 0.500
S1 0.000 0.500 0.212

***

Going through the records in order, we get E values of -99.90, -68.11, -19.04, -330.41, -55.08, -15.51, -15.33, -101.45 eV for the cell shown.